The following is a DFT calculation (PBE) of crystalline Er3NiPd at its relaxed geometry.

Geometry as CIF:
```
data_Er3NiPd
_space_group_name_H-M_alt 'P 1'
_space_group_IT_number 1
_cell_length_a 5.873
_cell_length_b 5.873
_cell_length_c 7.973
_cell_angle_alpha 69.98
_cell_angle_beta 69.98
_cell_angle_gamma 65.70
loop_
_space_group_symop_operation_xyz
'x,y,z'
loop_
_atom_site_label
_atom_site_type_symbol
_atom_site_fract_x
_atom_site_fract_y
_atom_site_fract_z
Pd1 Pd 0.281 0.719 0.500
Er1 Er 0.008 0.008 0.770
Er2 Er 0.700 0.700 0.659
Er3 Er 0.992 0.992 0.230
Ni1 Ni 0.309 0.691 0.000
Ni2 Ni 0.691 0.309 0.000
Er4 Er 0.316 0.316 0.851
Er5 Er 0.300 0.300 0.341
Er6 Er 0.684 0.684 0.149
Pd2 Pd 0.719 0.281 0.500
```

Output
* spin magnetization: 0.0000 μB per atom
* VASP energy: -5.45 eV per atom
* SG: C2/m (12)

The following is a DFT calculation (PBE) of crystalline TbNd2Dy5Tm at its relaxed geometry.

Geometry as CIF:
```
data_TbNd2Dy5Tm
_space_group_name_H-M_alt 'P 1'
_space_group_IT_number 1
_cell_length_a 8.606
_cell_length_b 8.606
_cell_length_c 9.964
_cell_angle_alpha 115.59
_cell_angle_beta 115.59
_cell_angle_gamma 90.00
loop_
_space_group_symop_operation_xyz
'x,y,z'
loop_
_atom_site_label
_atom_site_type_symbol
_atom_site_fract_x
_atom_site_fract_y
_atom_site_fract_z
Nd1 Nd 0.118 0.382 0.000
Nd2 Nd 0.382 0.882 0.000
Dy1 Dy 0.427 0.354 0.282
Tb1 Tb 0.250 0.250 0.500
Tm1 Tm 0.750 0.250 0.500
Dy2 Dy 0.927 0.427 0.282
Dy3 Dy 0.073 0.573 0.718
Nd3 Nd 0.618 0.118 0.000
Dy4 Dy 0.500 0.500 0.000
Dy5 Dy 0.146 0.073 0.718
Dy6 Dy 0.000 0.000 0.000
Tm2 Tm 0.250 0.750 0.500
Dy7 Dy 0.854 0.927 0.282
Dy8 Dy 0.573 0.646 0.718
Tb2 Tb 0.750 0.750 0.500
Dy9 Dy 0.354 0.854 0.282
Dy10 Dy 0.646 0.146 0.718
Nd4 Nd 0.882 0.618 0.000
```

Output
* spin magnetization: 0.0000 μB per atom
* VASP energy: -4.35 eV per atom
* SG: I4/mcm (140)

The following is a DFT calculation (PBE) of crystalline K2LiZr2Se6 at its relaxed geometry.

Geometry as CIF:
```
data_K2LiZr2Se6
_space_group_name_H-M_alt 'P 1'
_space_group_IT_number 1
_cell_length_a 6.749
_cell_length_b 6.749
_cell_length_c 8.247
_cell_angle_alpha 97.56
_cell_angle_beta 97.56
_cell_angle_gamma 119.97
loop_
_space_group_symop_operation_xyz
'x,y,z'
loop_
_atom_site_label
_atom_site_type_symbol
_atom_site_fract_x
_atom_site_fract_y
_atom_site_fract_z
Se1 Se 0.408 0.064 0.696
K1 K 0.164 0.836 0.000
Zr1 Zr 0.333 0.667 0.500
Li1 Li 0.000 0.000 0.500
Se2 Se 0.936 0.592 0.304
Se3 Se 0.287 0.287 0.302
Se4 Se 0.592 0.936 0.304
Se5 Se 0.713 0.713 0.698
K2 K 0.836 0.164 0.000
Se6 Se 0.064 0.408 0.696
Zr2 Zr 0.667 0.333 0.500
```

Output
* spin magnetization: 0.0000 μB per atom
* VASP energy: -5.07 eV per atom
* E_form (uncorrected): -1.24 eV/atom
* SG: C2/m (12)

The following is a DFT calculation (PBE) of crystalline LaScOs at its relaxed geometry.

Geometry as CIF:
```
data_LaScOs
_space_group_name_H-M_alt 'P 1'
_space_group_IT_number 1
_cell_length_a 4.746
_cell_length_b 4.746
_cell_length_c 4.746
_cell_angle_alpha 60.00
_cell_angle_beta 60.00
_cell_angle_gamma 60.00
loop_
_space_group_symop_operation_xyz
'x,y,z'
loop_
_atom_site_label
_atom_site_type_symbol
_atom_site_fract_x
_atom_site_fract_y
_atom_site_fract_z
Os1 Os 0.750 0.750 0.750
La1 La 0.500 0.500 0.500
Sc1 Sc 0.000 0.000 0.000
```

Output
* spin magnetization: 0.0000 μB per atom
* VASP energy: -7.62 eV per atom
* SG: F-43m (216)

The following is a DFT calculation (PBE) of crystalline Dy2TcSn at its relaxed geometry.

Geometry as CIF:
```
data_Dy2TcSn
_space_group_name_H-M_alt 'P 1'
_space_group_IT_number 1
_cell_length_a 3.625
_cell_length_b 3.625
_cell_length_c 7.076
_cell_angle_alpha 90.00
_cell_angle_beta 90.00
_cell_angle_gamma 90.00
loop_
_space_group_symop_operation_xyz
'x,y,z'
loop_
_atom_site_label
_atom_site_type_symbol
_atom_site_fract_x
_atom_site_fract_y
_atom_site_fract_z
Dy1 Dy 0.000 0.000 0.777
Tc1 Tc 0.500 0.500 0.000
Sn1 Sn 0.500 0.500 0.500
Dy2 Dy 0.000 0.000 0.223
```

Output
* spin magnetization: 0.0000 μB per atom
* VASP energy: -6.21 eV per atom
* SG: P4/mmm (123)

The following is a DFT calculation (PBE) of crystalline HfPbBr6 at its relaxed geometry.

Geometry as CIF:
```
data_HfPbBr6
_space_group_name_H-M_alt 'P 1'
_space_group_IT_number 1
_cell_length_a 7.044
_cell_length_b 7.070
_cell_length_c 7.345
_cell_angle_alpha 61.23
_cell_angle_beta 82.01
_cell_angle_gamma 73.21
loop_
_space_group_symop_operation_xyz
'x,y,z'
loop_
_atom_site_label
_atom_site_type_symbol
_atom_site_fract_x
_atom_site_fract_y
_atom_site_fract_z
Hf1 Hf 0.500 0.500 0.000
Br1 Br 0.728 0.732 0.000
Pb1 Pb 0.000 0.000 0.000
Br2 Br 0.721 0.429 0.707
Br3 Br 0.279 0.571 0.293
Br4 Br 0.279 0.864 0.707
Br5 Br 0.272 0.268 0.000
Br6 Br 0.721 0.136 0.293
```

Output
* spin magnetization: 0.0000 μB per atom
* VASP energy: -4.16 eV per atom
* E_form (uncorrected): -1.19 eV/atom
* SG: C2/m (12)

The following is a DFT calculation (PBE) of crystalline SnH3Pb at its relaxed geometry.

Geometry as CIF:
```
data_SnH3Pb
_space_group_name_H-M_alt 'P 1'
_space_group_IT_number 1
_cell_length_a 4.176
_cell_length_b 4.176
_cell_length_c 4.176
_cell_angle_alpha 90.00
_cell_angle_beta 90.00
_cell_angle_gamma 90.00
loop_
_space_group_symop_operation_xyz
'x,y,z'
loop_
_atom_site_label
_atom_site_type_symbol
_atom_site_fract_x
_atom_site_fract_y
_atom_site_fract_z
H1 H 0.500 0.000 0.000
Pb1 Pb 0.500 0.500 0.500
Sn1 Sn 0.000 0.000 0.000
H2 H 0.000 0.000 0.500
H3 H 0.000 0.500 0.000
```

Output
* spin magnetization: 0.0000 μB per atom
* VASP energy: -3.03 eV per atom
* SG: Pm-3m (221)

The following is a DFT calculation (PBE) of crystalline Mg3HN at its relaxed geometry.

Geometry as CIF:
```
data_Mg3HN
_space_group_name_H-M_alt 'P 1'
_space_group_IT_number 1
_cell_length_a 4.251
_cell_length_b 4.251
_cell_length_c 4.251
_cell_angle_alpha 90.00
_cell_angle_beta 90.00
_cell_angle_gamma 90.00
loop_
_space_group_symop_operation_xyz
'x,y,z'
loop_
_atom_site_label
_atom_site_type_symbol
_atom_site_fract_x
_atom_site_fract_y
_atom_site_fract_z
N1 N 0.000 0.000 0.000
Mg1 Mg 0.000 0.000 0.500
Mg2 Mg 0.500 0.000 0.000
H1 H 0.500 0.500 0.500
Mg3 Mg 0.000 0.500 0.000
```

Output
* spin magnetization: 0.0000 μB per atom
* VASP energy: -3.27 eV per atom
* SG: Pm-3m (221)

The following is a DFT calculation (PBE) of crystalline NaBeSb2I at its relaxed geometry.

Geometry as CIF:
```
data_NaBeSb2I
_space_group_name_H-M_alt 'P 1'
_space_group_IT_number 1
_cell_length_a 5.537
_cell_length_b 5.537
_cell_length_c 5.631
_cell_angle_alpha 90.00
_cell_angle_beta 90.00
_cell_angle_gamma 90.00
loop_
_space_group_symop_operation_xyz
'x,y,z'
loop_
_atom_site_label
_atom_site_type_symbol
_atom_site_fract_x
_atom_site_fract_y
_atom_site_fract_z
Be1 Be 0.500 0.500 0.500
Sb1 Sb 0.500 0.000 0.000
Sb2 Sb 0.000 0.500 0.000
I1 I 0.000 0.000 0.500
Na1 Na 0.000 0.000 0.000
```

Output
* spin magnetization: 0.1522 μB per atom
* VASP energy: -1.82 eV per atom
* E_form (uncorrected): 1.14 eV/atom
* SG: P4/mmm (123)

The following is a DFT calculation (PBE) of crystalline Pr2NdTlN at its relaxed geometry.

Geometry as CIF:
```
data_Pr2NdTlN
_space_group_name_H-M_alt 'P 1'
_space_group_IT_number 1
_cell_length_a 5.044
_cell_length_b 5.088
_cell_length_c 5.088
_cell_angle_alpha 90.00
_cell_angle_beta 90.00
_cell_angle_gamma 90.00
loop_
_space_group_symop_operation_xyz
'x,y,z'
loop_
_atom_site_label
_atom_site_type_symbol
_atom_site_fract_x
_atom_site_fract_y
_atom_site_fract_z
N1 N 0.000 0.000 0.000
Pr1 Pr 0.000 0.000 0.500
Tl1 Tl 0.500 0.500 0.500
Pr2 Pr 0.000 0.500 0.000
Nd1 Nd 0.500 0.000 0.000
```

Output
* spin magnetization: 0.0000 μB per atom
* VASP energy: -5.79 eV per atom
* E_form (uncorrected): -0.79 eV/atom
* SG: P4/mmm (123)

The following is a DFT calculation (PBE) of crystalline NdDy3Tm2Te6 at its relaxed geometry.

Geometry as CIF:
```
data_NdDy3Tm2Te6
_space_group_name_H-M_alt 'P 1'
_space_group_IT_number 1
_cell_length_a 4.318
_cell_length_b 8.800
_cell_length_c 9.715
_cell_angle_alpha 101.63
_cell_angle_beta 102.84
_cell_angle_gamma 90.00
loop_
_space_group_symop_operation_xyz
'x,y,z'
loop_
_atom_site_label
_atom_site_type_symbol
_atom_site_fract_x
_atom_site_fract_y
_atom_site_fract_z
Nd1 Nd 0.500 0.000 0.000
Tm1 Tm 0.836 0.668 0.673
Te1 Te 0.673 0.092 0.347
Dy1 Dy 0.158 0.836 0.317
Dy2 Dy 0.500 0.500 0.000
Te2 Te 0.327 0.908 0.653
Dy3 Dy 0.842 0.164 0.683
Te3 Te 0.004 0.260 0.007
Te4 Te 0.669 0.584 0.339
Te5 Te 0.331 0.416 0.661
Tm2 Tm 0.164 0.332 0.327
Te6 Te 0.996 0.740 0.993
```

Output
* spin magnetization: 0.0000 μB per atom
* VASP energy: -5.13 eV per atom
* E_form (uncorrected): -1.27 eV/atom
* SG: C2/m (12)

The following is a DFT calculation (PBE) of crystalline DyTiB at its relaxed geometry.

Geometry as CIF:
```
data_DyTiB
_space_group_name_H-M_alt 'P 1'
_space_group_IT_number 1
_cell_length_a 6.716
_cell_length_b 7.734
_cell_length_c 7.734
_cell_angle_alpha 59.25
_cell_angle_beta 64.27
_cell_angle_gamma 64.27
loop_
_space_group_symop_operation_xyz
'x,y,z'
loop_
_atom_site_label
_atom_site_type_symbol
_atom_site_fract_x
_atom_site_fract_y
_atom_site_fract_z
B1 B 0.257 0.250 0.750
Ti1 Ti 0.500 0.500 0.500
B2 B 0.590 0.667 0.667
Dy1 Dy 0.846 0.250 0.750
B3 B 0.923 0.833 0.833
Ti2 Ti 0.257 0.878 0.878
Ti3 Ti 0.257 0.378 0.378
Dy2 Dy 0.257 0.455 0.955
B4 B 0.923 0.333 0.333
Dy3 Dy 0.667 0.045 0.545
B5 B 0.257 0.750 0.250
Ti4 Ti 0.013 0.622 0.622
Dy4 Dy 0.257 0.955 0.455
Ti5 Ti 0.013 0.122 0.122
Dy5 Dy 0.846 0.750 0.250
Ti6 Ti 0.500 0.000 0.000
B6 B 0.590 0.167 0.167
Dy6 Dy 0.667 0.545 0.045
```

Output
* spin magnetization: 0.4090 μB per atom
* VASP energy: -6.43 eV per atom
* SG: Amm2 (38)